Record 1
Material: Ac2GaHg8
Method: DFT, PBE
State: optimized geometry

abc: 5.273 7.426 7.971
angles: 79.29 78.86 87.21
Sites, in units of the cell vectors:
Ac 0.213 0.254 0.152
Ac 0.787 0.746 0.848
Ga 0.000 0.500 0.500
Hg 0.205 0.726 0.126
Hg 0.237 0.865 0.479
Hg 0.288 0.054 0.785
Hg 0.364 0.502 0.720
Hg 0.636 0.498 0.280
Hg 0.712 0.946 0.215
Hg 0.763 0.135 0.521
Hg 0.795 0.274 0.874

Properties
The value obtained for the formation energy is -27 kJ/mol of atoms. Its crystal system is triclinic. The value obtained for the total energy is -1.526 eV/atom. As for the space-group type: No. 2.

=====

Record 2
Material: HfAg2Au2
Method: DFT, PBE
State: optimized geometry

abc: 7.228 7.228 3.742
angles: 90.00 90.00 90.00
Sites, in units of the cell vectors:
Hf 0.000 0.000 0.000
Hf 0.500 0.500 0.000
Ag 0.165 0.335 0.500
Ag 0.335 0.835 0.500
Ag 0.665 0.165 0.500
Ag 0.835 0.665 0.500
Au 0.136 0.636 0.000
Au 0.364 0.136 0.000
Au 0.636 0.864 0.000
Au 0.864 0.364 0.000

Properties
The value obtained for the formation energy is 0 kJ/mol of atoms. Its crystal system is tetragonal. The value obtained for the total energy is -4.444 eV/atom. The relative energy among the computed polymorphs comes out at 0 meV per atom. As for the space-group type: No. 127.

=====

Record 3
Material: Cd2Ga2Bi
Method: DFT, PBE
State: optimized geometry

abc: 6.888 6.888 6.888
angles: 142.80 142.80 53.63
Sites, in units of the cell vectors:
Cd 0.250 0.750 0.500
Cd 0.750 0.250 0.500
Ga 0.101 0.101 0.000
Ga 0.899 0.899 0.000
Bi 0.500 0.500 0.000

Properties
The value obtained for the formation energy is 10 kJ/mol of atoms. Its crystal system is tetragonal. The value obtained for the total energy is -2.252 eV/atom. The relative energy among the computed polymorphs comes out at 16 meV per atom. As for the space-group type: No. 139.

=====

Record 4
Material: Cr2SbP
Method: DFT, PBE
State: optimized geometry

abc: 3.224 3.224 6.057
angles: 90.00 90.00 90.00
Sites, in units of the cell vectors:
Cr 0.000 0.000 0.000
Cr 0.500 0.500 0.287
Sb 0.500 0.500 0.758
P 0.000 0.000 0.384

Properties
Its crystal system is tetragonal. The value obtained for the total energy is -7.166 eV/atom. As for the space-group type: No. 99. The value obtained for the raw formation energy is 0.029 eV/atom.

=====

Record 5
Material: CsRb3Zn4I12
Method: DFT, PBE
State: optimized geometry

abc: 10.899 10.899 10.899
angles: 100.56 100.56 100.56
Sites, in units of the cell vectors:
Cs 0.000 0.000 0.000
Rb 0.000 0.532 0.468
Rb 0.468 0.000 0.532
Rb 0.532 0.468 0.000
Zn 0.045 0.500 0.955
Zn 0.500 0.500 0.500
Zn 0.500 0.955 0.045
Zn 0.955 0.045 0.500
I 0.051 0.664 0.816
I 0.107 0.893 0.500
I 0.184 0.336 0.949
I 0.336 0.949 0.184
I 0.349 0.651 0.500
I 0.500 0.107 0.893
I 0.500 0.349 0.651
I 0.651 0.500 0.349
I 0.664 0.816 0.051
I 0.816 0.051 0.664
I 0.893 0.500 0.107
I 0.949 0.184 0.336

Properties
Its crystal system is trigonal. The value obtained for the total energy is -2.297 eV/atom. As for the space-group type: No. 155. The value obtained for the raw formation energy is -0.924 eV/atom.

=====

Record 6
Material: SiB2F
Method: DFT, PBE
State: optimized geometry

abc: 5.835 5.835 5.835
angles: 134.86 134.86 65.75
Sites, in units of the cell vectors:
Si 0.000 0.000 0.000
Si 0.750 0.250 0.500
B 0.118 0.625 0.993
B 0.375 0.368 0.493
B 0.632 0.125 0.007
B 0.875 0.882 0.507
F 0.250 0.750 0.500
F 0.500 0.500 0.000

Properties
Its crystal system is tetragonal. The value obtained for the total energy is -4.651 eV/atom. The relative energy among the computed polymorphs comes out at 0 meV per atom. As for the space-group type: No. 122. The value obtained for the raw formation energy is 0.511 eV/atom.

=====

Record 7
Material: K5Rb5Au6
Method: DFT, PBE
State: optimized geometry

abc: 7.249 10.148 10.148
angles: 119.69 90.00 90.00
Sites, in units of the cell vectors:
K 0.000 0.000 0.000
K 0.249 0.063 0.396
K 0.249 0.396 0.063
K 0.751 0.063 0.396
K 0.751 0.396 0.063
Rb 0.000 0.466 0.730
Rb 0.000 0.730 0.466
Rb 0.500 0.465 0.465
Rb 0.500 0.732 0.994
Rb 0.500 0.994 0.732
Au 0.000 0.124 0.734
Au 0.000 0.332 0.332
Au 0.000 0.734 0.124
Au 0.500 0.126 0.126
Au 0.500 0.335 0.731
Au 0.500 0.731 0.335

Properties
The value obtained for the formation energy is -22 kJ/mol of atoms. Its crystal system is orthorhombic. The value obtained for the total energy is -2.102 eV/atom. As for the space-group type: No. 38.

=====

Record 8
Material: PmSm2Er5Sc
Method: DFT, PBE
State: optimized geometry

abc: 9.723 9.723 9.723
angles: 127.30 127.30 77.76
Sites, in units of the cell vectors:
Pm 0.250 0.250 0.000
Pm 0.750 0.750 0.000
Sm 0.118 0.618 0.736
Sm 0.382 0.118 0.500
Sm 0.618 0.882 0.500
Sm 0.882 0.382 0.264
Er 0.000 0.000 0.000
Er 0.066 0.156 0.500
Er 0.156 0.656 0.090
Er 0.344 0.434 0.500
Er 0.434 0.934 0.090
Er 0.500 0.500 0.000
Er 0.566 0.066 0.910
Er 0.656 0.566 0.500
Er 0.844 0.344 0.910
Er 0.934 0.844 0.500
Sc 0.250 0.750 0.500
Sc 0.750 0.250 0.500

Properties
The value obtained for the formation energy is 27 kJ/mol of atoms. Its crystal system is tetragonal. The value obtained for the total energy is -4.536 eV/atom. As for the space-group type: No. 140.

=====

Record 9
Material: CeGdAlOs
Method: DFT, PBE
State: optimized geometry

abc: 5.001 5.001 5.001
angles: 60.00 60.00 60.00
Sites, in units of the cell vectors:
Ce 0.000 0.000 0.000
Gd 0.500 0.500 0.500
Al 0.750 0.750 0.750
Os 0.250 0.250 0.250

Properties
The value obtained for the formation energy is -17 kJ/mol of atoms. Its crystal system is cubic. The value obtained for the total energy is -8.923 eV/atom. As for the space-group type: No. 216.

=====

Record 10
Material: Se2ICl
Method: DFT, PBE
State: optimized geometry

abc: 6.670 6.670 6.670
angles: 108.95 108.95 110.52
Sites, in units of the cell vectors:
Se 0.120 0.625 0.995
Se 0.375 0.370 0.495
Se 0.630 0.125 0.005
Se 0.875 0.880 0.505
I 0.000 0.000 0.000
I 0.750 0.250 0.500
Cl 0.250 0.750 0.500
Cl 0.500 0.500 0.000

Properties
Its crystal system is tetragonal. The value obtained for the total energy is -2.036 eV/atom. The relative energy among the computed polymorphs comes out at 587 meV per atom. As for the space-group type: No. 122. The value obtained for the raw formation energy is 0.555 eV/atom.

=====

Record 11
Material: YCd2Se
Method: DFT, PBE
State: optimized geometry

abc: 5.626 5.626 5.626
angles: 132.40 132.40 69.60
Sites, in units of the cell vectors:
Y 0.000 0.000 0.000
Cd 0.250 0.750 0.500
Cd 0.500 0.500 0.000
Se 0.750 0.250 0.500

Properties
Its crystal system is tetragonal. The value obtained for the total energy is -3.460 eV/atom. As for the space-group type: No. 119. The value obtained for the raw formation energy is -0.516 eV/atom.

=====

Record 12
Material: Tb3GeH2
Method: DFT, PBE
State: optimized geometry

abc: 10.887 10.887 5.944
angles: 105.28 105.28 21.17
Sites, in units of the cell vectors:
Tb 0.051 0.051 0.288
Tb 0.230 0.230 0.231
Tb 0.399 0.399 0.150
Tb 0.601 0.601 0.850
Tb 0.770 0.770 0.769
Tb 0.949 0.949 0.712
Ge 0.349 0.349 0.606
Ge 0.651 0.651 0.394
H 0.056 0.056 0.909
H 0.291 0.291 0.985
H 0.709 0.709 0.015
H 0.944 0.944 0.091

Properties
Its crystal system is monoclinic. The value obtained for the total energy is -4.746 eV/atom. As for the space-group type: No. 12.

=====

Record 13
Material: ReAgPb3
Method: DFT, PBE
State: optimized geometry

abc: 5.341 5.341 5.341
angles: 90.00 90.00 90.00
Sites, in units of the cell vectors:
Re 0.000 0.000 0.000
Ag 0.500 0.500 0.500
Pb 0.000 0.000 0.500
Pb 0.000 0.500 0.000
Pb 0.500 0.000 0.000

Properties
The value obtained for the formation energy is 60 kJ/mol of atoms. Its crystal system is cubic. The value obtained for the total energy is -4.663 eV/atom. The relative energy among the computed polymorphs comes out at 0 meV per atom. As for the space-group type: No. 221.

=====

Record 14
Material: Li2NiAu
Method: DFT, PBE
State: optimized geometry

abc: 4.747 4.747 4.605
angles: 99.77 99.77 33.40
Sites, in units of the cell vectors:
Li 0.000 0.000 0.000
Li 0.233 0.233 0.736
Ni 0.742 0.742 0.247
Au 0.483 0.483 0.483

Properties
The value obtained for the formation energy is -18 kJ/mol of atoms. Its crystal system is monoclinic. The value obtained for the total energy is -3.409 eV/atom. As for the space-group type: No. 8.

=====

Record 15
Material: SrAs2P
Method: DFT, PBE
State: optimized geometry

abc: 4.085 4.085 6.580
angles: 90.00 90.00 90.00
Sites, in units of the cell vectors:
Sr 0.000 0.000 0.000
As 0.000 0.000 0.497
As 0.500 0.500 0.590
P 0.500 0.500 0.933

Properties
The value obtained for the formation energy is -27 kJ/mol of atoms. Its crystal system is tetragonal. The value obtained for the total energy is -4.373 eV/atom. As for the space-group type: No. 99.

=====

Record 16
Material: Be4Re
Method: DFT, PBE
State: optimized geometry

abc: 5.019 5.019 5.019
angles: 143.12 143.12 53.14
Sites, in units of the cell vectors:
Be 0.104 0.104 0.000
Be 0.250 0.750 0.500
Be 0.750 0.250 0.500
Be 0.896 0.896 0.000
Re 0.500 0.500 0.000

Properties
The value obtained for the formation energy is -1 kJ/mol of atoms. Its crystal system is tetragonal. The value obtained for the total energy is -5.485 eV/atom. The relative energy among the computed polymorphs comes out at 0 meV per atom. As for the space-group type: No. 139.

=====

Record 17
Material: Li2Ga3Au
Method: DFT, PBE
State: optimized geometry

abc: 8.884 8.242 5.352
angles: 78.46 65.37 36.17
Sites, in units of the cell vectors:
Li 0.245 0.755 0.755
Li 0.250 0.250 0.250
Li 0.750 0.750 0.750
Li 0.755 0.245 0.245
Ga 0.167 0.665 0.335
Ga 0.333 0.333 0.667
Ga 0.335 0.833 0.167
Ga 0.665 0.167 0.833
Ga 0.667 0.667 0.333
Ga 0.833 0.335 0.665
Au 0.166 0.166 0.834
Au 0.834 0.834 0.166

Properties
The value obtained for the formation energy is -36 kJ/mol of atoms. Its crystal system is orthorhombic. The value obtained for the total energy is -3.067 eV/atom. The relative energy among the computed polymorphs comes out at 0 meV per atom. As for the space-group type: No. 69.

=====

Record 18
Material: LiPd7Au4
Method: DFT, PBE
State: optimized geometry

abc: 4.732 5.553 7.790
angles: 106.60 91.55 90.98
Sites, in units of the cell vectors:
Li 0.000 0.000 0.000
Pd 0.248 0.521 0.925
Pd 0.252 0.807 0.640
Pd 0.254 0.284 0.582
Pd 0.500 0.000 0.000
Pd 0.746 0.716 0.418
Pd 0.748 0.193 0.360
Pd 0.752 0.479 0.075
Au 0.236 0.882 0.277
Au 0.246 0.389 0.257
Au 0.754 0.611 0.743
Au 0.764 0.118 0.723

Properties
The value obtained for the formation energy is -6 kJ/mol of atoms. Its crystal system is triclinic. The value obtained for the total energy is -4.348 eV/atom. The relative energy among the computed polymorphs comes out at 0 meV per atom. As for the space-group type: No. 2.

=====

Record 19
Material: Ti4Co3Cu
Method: DFT, PBE
State: optimized geometry

abc: 2.994 4.251 8.457
angles: 90.00 90.00 90.00
Sites, in units of the cell vectors:
Ti 0.000 0.000 0.000
Ti 0.000 0.000 0.500
Ti 0.000 0.500 0.244
Ti 0.000 0.500 0.756
Co 0.500 0.000 0.245
Co 0.500 0.000 0.755
Co 0.500 0.500 0.000
Cu 0.500 0.500 0.500

Properties
The value obtained for the formation energy is -29 kJ/mol of atoms. Its crystal system is orthorhombic. The value obtained for the total energy is -7.425 eV/atom. As for the space-group type: No. 47.

=====

Record 20
Material: ReOsPt2
Method: DFT, PBE
State: optimized geometry

abc: 3.335 3.335 5.550
angles: 90.00 90.00 90.00
Sites, in units of the cell vectors:
Re 0.000 0.000 0.000
Os 0.500 0.500 0.222
Pt 0.000 0.000 0.481
Pt 0.500 0.500 0.737

Properties
The value obtained for the formation energy is 24 kJ/mol of atoms. Its crystal system is tetragonal. The value obtained for the total energy is -8.694 eV/atom. The relative energy among the computed polymorphs comes out at 330 meV per atom. As for the space-group type: No. 99.